1.
Entry from the Alexandria database: a geometry-optimized BaCoHg structure (PBE-GGA).

Values from the calculation:
The calculation puts the total moment at 1.22 μB/cell. As for the crystal system: tetragonal.

a = 6.2651 Å, b = 6.2651 Å, c = 6.2651 Å
α = 145.55°, β = 145.55°, γ = 49.51°
Element x y z (fractional)
Ba (0.0000, 0.0000, 0.0000)
Co (0.2861, 0.2861, 0.0000)
Hg (0.7144, 0.7144, 0.0000)

---

2.
Entry from the Alexandria database: a geometry-optimized Ba2CoHg structure (PBE-GGA).

Values from the calculation:
The calculation puts the total moment at 0.76 μB/cell. As for the crystal system: monoclinic.

a = 3.9585 Å, b = 3.9755 Å, c = 8.2010 Å
α = 90.00°, β = 90.06°, γ = 90.00°
Element x y z (fractional)
Ba (0.0002, 0.0000, 0.2237)
Ba (0.9998, 0.0000, 0.7763)
Co (0.5000, 0.5000, 0.0000)
Hg (0.5000, 0.5000, 0.5000)

---

3.
Entry from the Alexandria database: a geometry-optimized Ba3CoHg structure (PBE-GGA).

Values from the calculation:
The calculation puts the total moment at 0.00 μB/cell. As for the crystal system: cubic.

a = 5.8673 Å, b = 5.8673 Å, c = 5.8673 Å
α = 90.00°, β = 90.00°, γ = 90.00°
Element x y z (fractional)
Ba (0.0000, 0.0000, 0.5000)
Ba (0.0000, 0.5000, 0.0000)
Ba (0.5000, 0.0000, 0.0000)
Co (0.0000, 0.0000, 0.0000)
Hg (0.5000, 0.5000, 0.5000)

---

Calculated values (eV/f.u.) of total DFT energy (no corrections) for the records, taken in order: -8.5; -10.8; -12.7.